Record 1
The following is a DFT calculation (PBE-GGA) of an optimized crystal structure of HoGa2CuPd4.

Unit cell a=4.4860 b=4.4860 c=6.3979 alpha=90.00 beta=90.00 gamma=90.00
Last column: nearest neighbours and their distance in Å.
Element x y z (fractional)
Pd (0.0000, 0.5000, 0.2701)  4 Ga 2.68-2.83, 2 Cu 2.68, 2 Ho 2.83, 1 Pd 2.94
Ga (0.0000, 0.0000, 0.0000)  8 Pd 2.83
Pd (0.0000, 0.5000, 0.7299)  4 Ga 2.68-2.83, 2 Cu 2.68, 2 Ho 2.83, 1 Pd 2.94
Ga (0.5000, 0.5000, 0.5000)  8 Pd 2.68
Pd (0.5000, 0.0000, 0.7299)  4 Ga 2.68-2.83, 2 Cu 2.68, 2 Ho 2.83, 1 Pd 2.94
Ho (0.5000, 0.5000, 0.0000)  8 Pd 2.83
Pd (0.5000, 0.0000, 0.2701)  4 Ga 2.68-2.83, 2 Cu 2.68, 2 Ho 2.83, 1 Pd 2.94
Cu (0.0000, 0.0000, 0.5000)  8 Pd 2.68

Results
Symmetry   P4/mmm (123)

Record 2
The following is a DFT calculation (PBE-GGA) of an optimized crystal structure of Cu7Ag3.

Unit cell a=2.7226 b=3.6316 c=13.8502 alpha=90.00 beta=90.00 gamma=90.00
Last column: nearest neighbours and their distance in Å.
Element x y z (fractional)
Cu (0.5000, 0.0000, 0.9762)  7 Cu 2.49-2.72, 4 Ag 2.71
Cu (0.5000, 0.0000, 0.7964)  12 Cu 2.49-2.72
Cu (0.0000, 0.5000, 0.7060)  11 Cu 2.51-2.72, 1 Ag 2.72
Ag (0.5000, 0.0000, 0.2078)  5 Cu 2.70-2.71, 6 Ag 2.72-2.86
Ag (0.0000, 0.5000, 0.0827)  5 Cu 2.71, 6 Ag 2.72-2.86
Cu (0.5000, 0.0000, 0.6163)  7 Cu 2.50-2.72, 4 Ag 2.71
Cu (0.0000, 0.5000, 0.8870)  11 Cu 2.51-2.72, 1 Ag 2.71
Cu (0.5000, 0.0000, 0.4027)  6 Cu 2.57-2.72, 5 Ag 2.70-2.71
Cu (0.0000, 0.5000, 0.3152)  6 Cu 2.57-2.72, 5 Ag 2.69-2.71
Ag (0.0000, 0.5000, 0.5098)  10 Cu 2.69-2.72, 2 Ag 2.72

Results
Symmetry   Pmm2 (25)
Calculated formation energy   0.073 eV per atom

Record 3
The following is a DFT calculation (PBE-GGA) of an optimized crystal structure of LuAlPbS3.

Unit cell a=7.5127 b=7.5127 c=10.5010 alpha=90.00 beta=90.00 gamma=151.13
Last column: nearest neighbours and their distance in Å.
Element x y z (fractional)
Pb (0.2971, 0.7029, 0.7500)  2 S 2.96, 2 Al 3.13
S (0.9802, 0.0198, 0.2500)  2 Al 2.42, 2 Lu 2.64
S (0.0198, 0.9802, 0.7500)  2 Al 2.42, 2 Lu 2.64
Lu (0.0000, 0.0000, 0.0000)  6 S 2.64-2.67
S (0.3700, 0.6300, 0.0134)  1 Al 2.49, 2 Lu 2.67
S (0.6300, 0.3700, 0.5134)  1 Al 2.49, 2 Lu 2.67
Al (0.3751, 0.6249, 0.2500)  4 S 2.42-2.49
S (0.3700, 0.6300, 0.4866)  1 Al 2.49, 2 Lu 2.67
Lu (0.0000, 0.0000, 0.5000)  6 S 2.64-2.67
S (0.6300, 0.3700, 0.9866)  1 Al 2.49, 2 Lu 2.67
Pb (0.7029, 0.2971, 0.2500)  2 S 2.96, 2 Al 3.13
Al (0.6249, 0.3751, 0.7500)  4 S 2.42-2.49

Results
Symmetry   Cmcm (63)

The records above give, respectively, total DFT energy (no corrections) values of -4.998; -3.376; -5.141 eV/atom.